Entry 1:
PBE NaGe2H8, optimized geometry; crystal system = monoclinic
1.0
4.646 -2.799 0.000
4.646 2.799 0.000
-2.389 0.000 6.203
Na Ge H
1 2 8
direct
0.000 0.000 0.000 Na
0.202 0.202 0.640 Ge
0.798 0.798 0.360 Ge
0.082 0.635 0.276 H
0.149 0.149 0.383 H
0.365 0.918 0.724 H
0.381 0.381 0.747 H
0.619 0.619 0.253 H
0.635 0.082 0.276 H
0.851 0.851 0.617 H
0.918 0.365 0.724 H



Entry 2:
PBE TbDyMnAl, optimized geometry; crystal system = cubic
1.0
0.000 3.597 3.597
3.597 0.000 3.597
3.597 3.597 0.000
Tb Dy Mn Al
1 1 1 1
direct
0.000 0.000 0.000 Tb
0.500 0.500 0.500 Dy
0.250 0.250 0.250 Mn
0.750 0.750 0.750 Al



Entry 3:
PBE SrNdMgTl, optimized geometry; crystal system = cubic
1.0
0.000 3.997 3.997
3.997 0.000 3.997
3.997 3.997 0.000
Sr Nd Mg Tl
1 1 1 1
direct
0.000 0.000 0.000 Sr
0.500 0.500 0.500 Nd
0.750 0.750 0.750 Mg
0.250 0.250 0.250 Tl



Entry 4:
PBE TmSbIr, optimized geometry; formation energy (no corrections) = -0.37 eV/atom; crystal system = tetragonal
1.0
-1.908 1.908 4.530
1.908 -1.908 4.530
1.908 1.908 -4.530
Tm Sb Ir
1 1 1
direct
0.000 0.000 0.000 Tm
0.679 0.679 0.000 Sb
0.378 0.378 0.000 Ir



Entry 5:
PBE MnTl3Sn2Te6, optimized geometry; formation energy (no corrections) = -0.25 eV/atom; crystal system = monoclinic
1.0
3.771 -6.497 0.000
3.771 6.497 0.000
-2.493 0.000 7.823
Mn Tl Sn Te
1 3 2 6
direct
0.000 0.000 0.000 Mn
0.181 0.819 0.500 Tl
0.500 0.500 0.500 Tl
0.819 0.181 0.500 Tl
0.336 0.664 0.000 Sn
0.664 0.336 0.000 Sn
0.066 0.367 0.203 Te
0.230 0.230 0.786 Te
0.367 0.066 0.203 Te
0.633 0.934 0.797 Te
0.770 0.770 0.214 Te
0.934 0.633 0.797 Te



Entry 6:
PBE AcPm2Pr, optimized geometry; crystal system = trigonal
1.0
1.886 1.089 12.167
-1.886 1.089 12.167
0.000 -2.178 12.167
Ac Pm Pr
1 2 1
direct
0.000 0.000 0.000 Ac
0.581 0.581 0.581 Pm
0.752 0.752 0.752 Pm
0.166 0.166 0.166 Pr



Entry 7:
PBE SiSb2TeC, optimized geometry; formation energy (no corrections) = 1.14 eV/atom; crystal system = tetragonal
1.0
4.740 0.000 0.000
0.000 4.740 0.000
0.000 0.000 4.829
Si Sb Te C
1 2 1 1
direct
0.000 0.000 0.000 Si
0.000 0.500 0.500 Sb
0.500 0.000 0.500 Sb
0.500 0.500 0.000 Te
0.500 0.500 0.500 C



Entry 8:
PBE Ac2MgSi3Rh4, optimized geometry; formation energy (no corrections) = -0.88 eV/atom; crystal system = tetragonal
1.0
4.237 0.000 0.000
0.000 4.237 0.000
0.000 0.000 10.621
Ac Mg Si Rh
2 1 3 4
direct
0.000 0.500 0.248 Ac
0.500 0.000 0.752 Ac
0.000 0.000 0.500 Mg
0.000 0.500 0.882 Si
0.500 0.000 0.118 Si
0.500 0.500 0.500 Si
0.000 0.000 0.000 Rh
0.000 0.500 0.642 Rh
0.500 0.000 0.358 Rh
0.500 0.500 0.000 Rh



Entry 9:
PBE Tb2Dy2Mg7, optimized geometry; crystal system = orthorhombic
1.0
-2.624 7.389 3.858
2.624 -7.389 3.858
2.624 7.389 -3.858
Tb Dy Mg
2 2 7
direct
0.216 0.000 0.216 Tb
0.784 0.000 0.784 Tb
0.159 0.159 0.000 Dy
0.476 0.976 0.500 Dy
0.045 0.692 0.354 Mg
0.315 0.470 0.845 Mg
0.338 0.692 0.646 Mg
0.625 0.470 0.155 Mg
0.702 0.318 0.384 Mg
0.743 0.743 0.000 Mg
0.935 0.318 0.616 Mg



Entry 10:
PBE KSIO2, optimized geometry; formation energy (no corrections) = 0.02 eV/atom; crystal system = tetragonal
1.0
4.226 0.000 0.000
0.000 4.226 0.000
0.000 0.000 5.391
K S I O
1 1 1 2
direct
0.000 0.000 0.000 K
0.500 0.500 0.500 S
0.500 0.500 0.000 I
0.000 0.500 0.500 O
0.500 0.000 0.500 O



Entry 11:
PBE TbPm2Mg4, optimized geometry; crystal system = orthorhombic
1.0
3.026 -6.616 0.000
3.026 6.616 0.000
0.000 0.000 5.481
Tb Pm Mg
1 2 4
direct
0.000 0.000 0.000 Tb
0.365 0.635 0.500 Pm
0.635 0.365 0.500 Pm
0.115 0.885 0.500 Mg
0.237 0.763 0.000 Mg
0.763 0.237 0.000 Mg
0.885 0.115 0.500 Mg



Entry 12:
PBE BaSrCaNd, optimized geometry; crystal system = cubic
1.0
0.000 4.520 4.520
4.520 0.000 4.520
4.520 4.520 0.000
Ba Sr Ca Nd
1 1 1 1
direct
0.000 0.000 0.000 Ba
0.250 0.250 0.250 Sr
0.500 0.500 0.500 Ca
0.750 0.750 0.750 Nd



Looking at electronic total energy for the records above, in order, we have -3.247 -5.607 -2.828 -6.193 -3.843 -4.560 -4.070 -6.430 -2.635 -3.315 -2.579 -2.440 eV per atom.